Entry 1:
Material: SrZrF2
Method: DFT, PBE
State: optimized geometry

Unit cell a=6.7626 b=6.7626 c=6.7626 alpha=90.00 beta=90.00 gamma=90.00
With the nearest neighbours (Å) after each atom.
Space group Fm-3m (No. 225)
Inequivalent atoms, fractional coordinates:
Sr  0.0000  0.0000  0.0000 x4  8 F 2.93
Zr  0.0000  0.0000  0.5000 x4  8 F 2.93
F  0.2500  0.2500  0.2500 x8  4 Zr 2.93, 4 Sr 2.93



Entry 2:
Material: Ta2F13
Method: DFT, PBE
State: optimized geometry

Unit cell a=5.1489 b=6.6112 c=7.7749 alpha=66.17 beta=80.27 gamma=80.39
With the nearest neighbours (Å) after each atom.
Space group P-1 (No. 2)
Inequivalent atoms, fractional coordinates:
Ta  0.1839  0.1210  0.2220 x2  5 F 1.86-1.96
F  0.0000  0.0000  0.5000 x1  2 Ta 2.09
F  0.0636  0.8772  0.2048 x2  1 Ta 1.88
F  0.1530  0.7008  0.8401 x2  1 Ta 1.94
F  0.2184  0.3776  0.2785 x2  1 Ta 1.96
F  0.3570  0.2284  0.9776 x2  1 Ta 1.86
F  0.4403  0.5075  0.5859 x2  1 F 1.41
F  0.4937  0.9685  0.3344 x2  1 Ta 1.88



Entry 3:
Material: TaF3
Method: DFT, PBE
State: optimized geometry

Unit cell a=4.1635 b=4.1635 c=4.1635 alpha=90.00 beta=90.00 gamma=90.00
With the nearest neighbours (Å) after each atom.
Space group Pm-3m (No. 221)
Inequivalent atoms, fractional coordinates:
Ta  0.0000  0.0000  0.0000 x1  6 F 2.08
F  0.0000  0.0000  0.5000 x3  2 Ta 2.08



Entry 4:
Material: TaF4
Method: DFT, PBE
State: optimized geometry

Unit cell a=3.9740 b=3.9740 c=3.9740 alpha=90.00 beta=90.00 gamma=90.00
With the nearest neighbours (Å) after each atom.
Space group Pm-3m (No. 221)
Inequivalent atoms, fractional coordinates:
Ta  0.0000  0.0000  0.0000 x1  6 F 1.99
F  0.0000  0.0000  0.5000 x3  2 Ta 1.99
F  0.5000  0.5000  0.5000 x1  12 F 2.81



Entry 5:
Material: TaF3
Method: DFT, PBE
State: optimized geometry

Unit cell a=7.7651 b=7.7651 c=4.1146 alpha=90.00 beta=90.00 gamma=90.00
With the nearest neighbours (Å) after each atom.
Space group I-42d (No. 122)
Inequivalent atoms, fractional coordinates:
Ta  0.0000  0.0000  0.0000 x4  6 F 2.06-2.12
F  0.0000  0.0000  0.5000 x4  2 Ta 2.06
F  0.0868  0.2500  0.1250 x8  2 Ta 2.12



Entry 6:
Material: TaF3
Method: DFT, PBE
State: optimized geometry

Unit cell a=2.8277 b=2.8277 c=24.1183 alpha=90.00 beta=90.00 gamma=120.00
With the nearest neighbours (Å) after each atom.
Space group R-3m (No. 166, hexagonal axes)
Inequivalent atoms, fractional coordinates:
Ta  0.0000  0.0000  0.0000 x3  6 F 2.20
F  0.0000  0.0000  0.3945 x6  3 Ta 2.20
F  0.0000  0.0000  0.5000 x3  8 F 2.54-2.83



Entry 7:
Material: Ta2TcF
Method: DFT, PBE
State: optimized geometry

Unit cell a=6.2912 b=6.2912 c=6.2912 alpha=90.00 beta=90.00 gamma=90.00
With the nearest neighbours (Å) after each atom.
Space group Fm-3m (No. 225)
Inequivalent atoms, fractional coordinates:
Ta  0.2500  0.2500  0.2500 x8  4 F 2.72, 4 Tc 2.72
Tc  0.0000  0.0000  0.0000 x4  8 Ta 2.72
F  0.0000  0.0000  0.5000 x4  8 Ta 2.72



Entry 8:
Material: TaTc3F
Method: DFT, PBE
State: optimized geometry

Unit cell a=4.1714 b=4.1714 c=4.1714 alpha=90.00 beta=90.00 gamma=90.00
With the nearest neighbours (Å) after each atom.
Space group Pm-3m (No. 221)
Inequivalent atoms, fractional coordinates:
Ta  0.0000  0.0000  0.0000 x1  12 Tc 2.95
Tc  0.0000  0.5000  0.5000 x3  2 F 2.09
F  0.5000  0.5000  0.5000 x1  6 Tc 2.09



Entry 9:
Material: TaTc2F
Method: DFT, PBE
State: optimized geometry

Unit cell a=6.1925 b=6.1925 c=6.1925 alpha=90.00 beta=90.00 gamma=90.00
With the nearest neighbours (Å) after each atom.
Space group Fm-3m (No. 225)
Inequivalent atoms, fractional coordinates:
Ta  0.0000  0.0000  0.0000 x4  8 Tc 2.68
Tc  0.2500  0.2500  0.2500 x8  4 F 2.68, 4 Ta 2.68
F  0.0000  0.0000  0.5000 x4  8 Tc 2.68



Entry 10:
Material: Ta2TcF
Method: DFT, PBE
State: optimized geometry

Unit cell a=5.3500 b=5.3500 c=10.5274 alpha=90.00 beta=90.00 gamma=90.00
With the nearest neighbours (Å) after each atom.
Space group I-42d (No. 122)
Inequivalent atoms, fractional coordinates:
Ta  0.1930  0.2500  0.1250 x8  2 F 2.14
Tc  0.0000  0.0000  0.5000 x4  4 Ta 2.49
F  0.0000  0.0000  0.0000 x4  4 Ta 2.14



Entry 11:
Material: TaTc3F
Method: DFT, PBE
State: optimized geometry

Unit cell a=4.8931 b=4.8931 c=4.8931 alpha=90.00 beta=90.00 gamma=90.00
With the nearest neighbours (Å) after each atom.
Space group Pm-3m (No. 221)
Inequivalent atoms, fractional coordinates:
Ta  0.0000  0.0000  0.0000 x1  6 Tc 2.45
Tc  0.0000  0.0000  0.5000 x3  2 Ta 2.45
F  0.5000  0.5000  0.5000 x1  12 Tc 3.46



Entry 12:
Material: TaTc2F
Method: DFT, PBE
State: optimized geometry

Unit cell a=6.7946 b=6.7946 c=5.0636 alpha=90.00 beta=90.00 gamma=90.00
With the nearest neighbours (Å) after each atom.
Space group I-42d (No. 122)
Inequivalent atoms, fractional coordinates:
Ta  0.0000  0.0000  0.0000 x4  2 F 2.53, 4 Tc 2.74
Tc  0.1983  0.2500  0.6250 x8  2 F 2.26
F  0.0000  0.0000  0.5000 x4  4 Tc 2.26



Entry 13:
Material: TaTcTe2F
Method: DFT, PBE
State: optimized geometry

Unit cell a=5.0115 b=5.0115 c=3.8608 alpha=90.00 beta=90.00 gamma=90.00
With the nearest neighbours (Å) after each atom.
Space group P4/mmm (No. 123)
Inequivalent atoms, fractional coordinates:
Ta  0.0000  0.0000  0.0000 x1  8 Te 3.16
Tc  0.5000  0.5000  0.0000 x1  2 F 1.93
Te  0.0000  0.5000  0.5000 x2  2 F 2.51
F  0.5000  0.5000  0.5000 x1  2 Tc 1.93



Entry 14:
Material: TaZnTc2F
Method: DFT, PBE
State: optimized geometry

Unit cell a=4.8198 b=4.8198 c=3.5838 alpha=90.00 beta=90.00 gamma=90.00
With the nearest neighbours (Å) after each atom.
Space group P4/mmm (No. 123)
Inequivalent atoms, fractional coordinates:
Ta  0.0000  0.0000  0.0000 x1  8 Tc 3.00
Zn  0.5000  0.5000  0.5000 x1  2 F 1.79
Tc  0.0000  0.5000  0.5000 x2  2 Zn 2.41
F  0.5000  0.5000  0.0000 x1  2 Zn 1.79



Entry 15:
Material: Ta3TeF
Method: DFT, PBE
State: optimized geometry

Unit cell a=4.4292 b=4.4292 c=4.4292 alpha=90.00 beta=90.00 gamma=90.00
With the nearest neighbours (Å) after each atom.
Space group Pm-3m (No. 221)
Inequivalent atoms, fractional coordinates:
Ta  0.0000  0.0000  0.5000 x3  2 F 2.21
Te  0.5000  0.5000  0.5000 x1  12 Ta 3.13
F  0.0000  0.0000  0.0000 x1  6 Ta 2.21



Entry 16:
Material: TaTe2F
Method: DFT, PBE
State: optimized geometry

Unit cell a=6.8449 b=6.8449 c=6.8449 alpha=90.00 beta=90.00 gamma=90.00
With the nearest neighbours (Å) after each atom.
Space group Fm-3m (No. 225)
Inequivalent atoms, fractional coordinates:
Ta  0.0000  0.0000  0.0000 x4  8 Te 2.96
Te  0.2500  0.2500  0.2500 x8  4 Ta 2.96, 4 F 2.96
F  0.0000  0.0000  0.5000 x4  8 Te 2.96



Entry 17:
Material: TaTeF3
Method: DFT, PBE
State: optimized geometry

Unit cell a=4.2683 b=4.2683 c=4.2683 alpha=90.00 beta=90.00 gamma=90.00
With the nearest neighbours (Å) after each atom.
Space group Pm-3m (No. 221)
Inequivalent atoms, fractional coordinates:
Ta  0.0000  0.0000  0.0000 x1  6 F 2.13
Te  0.5000  0.5000  0.5000 x1  12 F 3.02
F  0.0000  0.0000  0.5000 x3  2 Ta 2.13



Entry 18:
Material: TaTe3F
Method: DFT, PBE
State: optimized geometry

Unit cell a=4.8716 b=4.8716 c=4.8716 alpha=90.00 beta=90.00 gamma=90.00
With the nearest neighbours (Å) after each atom.
Space group Pm-3m (No. 221)
Inequivalent atoms, fractional coordinates:
Ta  0.0000  0.0000  0.0000 x1  12 Te 3.44
Te  0.0000  0.5000  0.5000 x3  2 F 2.44
F  0.5000  0.5000  0.5000 x1  6 Te 2.44



Entry 19:
Material: Ta2TeF
Method: DFT, PBE
State: optimized geometry

Unit cell a=6.5015 b=6.5015 c=6.5015 alpha=90.00 beta=90.00 gamma=90.00
With the nearest neighbours (Å) after each atom.
Space group Fm-3m (No. 225)
Inequivalent atoms, fractional coordinates:
Ta  0.2500  0.2500  0.2500 x8  4 F 2.82, 4 Te 2.82
Te  0.0000  0.0000  0.0000 x4  8 Ta 2.82
F  0.0000  0.0000  0.5000 x4  8 Ta 2.82



Entry 20:
Material: Ta2TeF
Method: DFT, PBE
State: optimized geometry

Unit cell a=4.3883 b=4.3883 c=16.7071 alpha=90.00 beta=90.00 gamma=90.00
With the nearest neighbours (Å) after each atom.
Space group I-42d (No. 122)
Inequivalent atoms, fractional coordinates:
Ta  0.1872  0.2500  0.1250 x8  2 F 2.50, 2 Te 2.73, 2 Ta 2.74
Te  0.0000  0.0000  0.5000 x4  4 Ta 2.73
F  0.0000  0.0000  0.0000 x4  4 Ta 2.50



Entry 21:
Material: TaTe3F
Method: DFT, PBE
State: optimized geometry

Unit cell a=5.3042 b=5.3042 c=5.3042 alpha=90.00 beta=90.00 gamma=90.00
With the nearest neighbours (Å) after each atom.
Space group Pm-3m (No. 221)
Inequivalent atoms, fractional coordinates:
Ta  0.0000  0.0000  0.0000 x1  6 Te 2.65
Te  0.0000  0.0000  0.5000 x3  2 Ta 2.65
F  0.5000  0.5000  0.5000 x1  12 Te 3.75



Entry 22:
Material: TaTe2F
Method: DFT, PBE
State: optimized geometry

Unit cell a=3.7276 b=3.7276 c=24.9702 alpha=90.00 beta=90.00 gamma=120.00
With the nearest neighbours (Å) after each atom.
Space group R-3m (No. 166, hexagonal axes)
Inequivalent atoms, fractional coordinates:
Ta  0.0000  0.0000  0.0000 x3  6 Te 2.81
Te  0.0000  0.0000  0.4054 x6  1 F 2.36
F  0.0000  0.0000  0.5000 x3  2 Te 2.36



Entry 23:
Material: TaTeF3
Method: DFT, PBE
State: optimized geometry

Unit cell a=4.6287 b=4.6287 c=4.6287 alpha=90.00 beta=90.00 gamma=90.00
With the nearest neighbours (Å) after each atom.
Space group Pm-3m (No. 221)
Inequivalent atoms, fractional coordinates:
Ta  0.0000  0.0000  0.0000 x1  12 F 3.27
Te  0.5000  0.5000  0.5000 x1  6 F 2.31
F  0.0000  0.5000  0.5000 x3  2 Te 2.31



Entry 24:
Material: TaTe2F
Method: DFT, PBE
State: optimized geometry

Unit cell a=3.0989 b=3.0989 c=30.0650 alpha=90.00 beta=90.00 gamma=120.00
With the nearest neighbours (Å) after each atom.
Space group R-3m (No. 166, hexagonal axes)
Inequivalent atoms, fractional coordinates:
Ta  0.0000  0.0000  0.0000 x3  2 Te 2.86, 6 Ta 3.10
Te  0.0000  0.0000  0.0953 x6  3 F 2.79, 1 Ta 2.86, 6 Te 3.10
F  0.0000  0.0000  0.5000 x3  6 Te 2.79, 6 F 3.10



Entry 25:
Material: TaTe2F
Method: DFT, PBE
State: optimized geometry

Unit cell a=6.5378 b=6.5378 c=10.9453 alpha=90.00 beta=90.00 gamma=90.00
With the nearest neighbours (Å) after each atom.
Space group I-42d (No. 122)
Inequivalent atoms, fractional coordinates:
Ta  0.0000  0.0000  0.0000 x4  4 Te 2.65
Te  0.2406  0.2500  0.1250 x8  2 Ta 2.65, 2 F 2.72
F  0.0000  0.0000  0.5000 x4  4 Te 2.72



Entry 26:
Material: Ta2TlTeF
Method: DFT, PBE
State: optimized geometry

Unit cell a=5.1425 b=5.1425 c=7.1339 alpha=90.00 beta=90.00 gamma=90.00
With the nearest neighbours (Å) after each atom.
Space group P4/mmm (No. 123)
Inequivalent atoms, fractional coordinates:
Ta  0.0000  0.5000  0.0000 x2  2 Te 2.57
Tl  0.0000  0.0000  0.5000 x1  2 Te 3.57, 4 F 3.64
Te  0.0000  0.0000  0.0000 x1  4 Ta 2.57
F  0.5000  0.5000  0.5000 x1  4 Tl 3.64



Entry 27:
Material: TaTl3Te2F6
Method: DFT, PBE
State: optimized geometry

Unit cell a=15.3656 b=8.6423 c=4.9790 alpha=90.00 beta=106.50 gamma=90.00
With the nearest neighbours (Å) after each atom.
Space group C2/m (No. 12)
Inequivalent atoms, fractional coordinates:
Ta  0.0000  0.0000  0.0000 x2  6 F 1.92-1.94
Tl  0.0000  0.5000  0.5000 x2  2 Te 2.70
Tl  0.2500  0.2500  0.0000 x4  2 F 2.96
Te  0.1669  0.5000  0.4226 x4  1 Tl 2.70
F  0.0562  0.1592  0.8322 x8  1 Ta 1.94
F  0.1054  0.0000  0.3193 x4  1 Ta 1.92



Entry 28:
Material: Y2TaTeF
Method: DFT, PBE
State: optimized geometry

Unit cell a=4.9979 b=4.9979 c=4.2660 alpha=90.00 beta=90.00 gamma=90.00
With the nearest neighbours (Å) after each atom.
Space group P4/mmm (No. 123)
Inequivalent atoms, fractional coordinates:
Y  0.0000  0.5000  0.0000 x2  2 F 2.50
Ta  0.0000  0.0000  0.5000 x1  2 F 2.13
Te  0.5000  0.5000  0.5000 x1  8 Y 3.29, 4 Ta 3.53
F  0.0000  0.0000  0.0000 x1  2 Ta 2.13



| no. | formation energy (no corrections) (meV/atom) |
| --- | --- |
| 1 | -1288 |
| 2 | -2522 |
| 3 | -2457 |
| 4 | -2473 |
| 5 | -2328 |
| 6 | -1383 |
| 7 | -124 |
| 8 | 562 |
| 9 | 271 |
| 10 | 395 |
| 11 | 1867 |
| 12 | 220 |
| 13 | 586 |
| 14 | 864 |
| 15 | 341 |
| 16 | -398 |
| 17 | -1374 |
| 18 | 576 |
| 19 | 3 |
| 20 | 30 |
| 21 | -61 |
| 22 | -632 |
| 23 | 84 |
| 24 | 23 |
| 25 | -302 |
| 26 | 1354 |
| 27 | -1989 |
| 28 | -592 |